A geometry-optimized CoAuF2 structure, computed with GGA+U.

Results
E = -3.5147 eV/atom

abc: 5.980 5.980 5.980
angles: 90.00 90.00 90.00
Space group Fm-3m (No. 225)
One atom of each set of equivalent atoms:
Co1 0.000 0.000 0.000 x4
Au1 0.000 0.000 0.500 x4
F1 0.250 0.250 0.250 x8